A relaxed Gd3AuN crystal. Source: Alexandria, functional PBE.

Summary:
total DFT energy (no corrections): -58.50 eV/f.u.
total magnetic moment: 22.70 μB/cell

Geometry as CIF:
```
data_Gd3AuN
_cell_length_a 4.825
_cell_length_b 4.825
_cell_length_c 4.825
_cell_angle_alpha 90.00
_cell_angle_beta 90.00
_cell_angle_gamma 90.00
_symmetry_space_group_name_H-M 'P 1'
_symmetry_Int_Tables_number 1
loop_
_symmetry_equiv_pos_as_xyz
'x,y,z'
loop_
_atom_site_label
_atom_site_fract_x
_atom_site_fract_y
_atom_site_fract_z
Gd1 0.000 0.000 0.500
Gd2 0.000 0.500 0.000
Gd3 0.500 0.000 0.000
Au1 0.500 0.500 0.500
N1 0.000 0.000 0.000
```

A relaxed CdAg8Au6 crystal. Source: Alexandria, functional PBE.

Summary:
formation energy: 0.72 eV per formula unit
total magnetic moment: 0.00 μB/cell

Geometry as CIF:
```
data_CdAg8Au6
_cell_length_a 7.226
_cell_length_b 7.226
_cell_length_c 7.226
_cell_angle_alpha 65.72
_cell_angle_beta 65.72
_cell_angle_gamma 65.72
_symmetry_space_group_name_H-M 'P 1'
_symmetry_Int_Tables_number 1
loop_
_symmetry_equiv_pos_as_xyz
'x,y,z'
loop_
_atom_site_label
_atom_site_fract_x
_atom_site_fract_y
_atom_site_fract_z
Cd1 0.000 0.000 0.000
Ag1 0.140 0.814 0.431
Ag2 0.186 0.569 0.860
Ag3 0.245 0.245 0.245
Ag4 0.431 0.140 0.814
Ag5 0.569 0.860 0.186
Ag6 0.755 0.755 0.755
Ag7 0.814 0.431 0.140
Ag8 0.860 0.186 0.569
Au1 0.064 0.375 0.679
Au2 0.321 0.936 0.625
Au3 0.375 0.679 0.064
Au4 0.625 0.321 0.936
Au5 0.679 0.064 0.375
Au6 0.936 0.625 0.321
```

A relaxed Pr5Cu2Au5 crystal. Source: Alexandria, functional PBE.

Summary:
formation energy: -7.49 eV per formula unit
total magnetic moment: 0.00 μB/cell

Geometry as CIF:
```
data_Pr5Cu2Au5
_cell_length_a 8.452
_cell_length_b 8.452
_cell_length_c 11.667
_cell_angle_alpha 130.34
_cell_angle_beta 130.34
_cell_angle_gamma 28.71
_symmetry_space_group_name_H-M 'P 1'
_symmetry_Int_Tables_number 1
loop_
_symmetry_equiv_pos_as_xyz
'x,y,z'
loop_
_atom_site_label
_atom_site_fract_x
_atom_site_fract_y
_atom_site_fract_z
Pr1 0.000 0.000 0.000
Pr2 0.101 0.101 0.408
Pr3 0.199 0.199 0.816
Pr4 0.801 0.801 0.184
Pr5 0.899 0.899 0.592
Cu1 0.363 0.363 0.747
Cu2 0.637 0.637 0.253
Au1 0.259 0.259 0.332
Au2 0.430 0.430 0.144
Au3 0.500 0.500 0.500
Au4 0.570 0.570 0.856
Au5 0.741 0.741 0.668
```

A relaxed MnGePCN crystal. Source: Alexandria, functional PBE.

Summary:
relative energy among the computed polymorphs: 0.197 eV per atom
total magnetic moment: 0.00 μB/cell

Geometry as CIF:
```
data_MnGePCN
_cell_length_a 4.212
_cell_length_b 4.212
_cell_length_c 5.952
_cell_angle_alpha 104.64
_cell_angle_beta 104.64
_cell_angle_gamma 39.35
_symmetry_space_group_name_H-M 'P 1'
_symmetry_Int_Tables_number 1
loop_
_symmetry_equiv_pos_as_xyz
'x,y,z'
loop_
_atom_site_label
_atom_site_fract_x
_atom_site_fract_y
_atom_site_fract_z
Mn1 0.000 0.000 0.000
Ge1 0.158 0.158 0.626
P1 0.772 0.772 0.180
C1 0.201 0.201 0.305
N1 0.393 0.393 0.839
```

A relaxed TaPS2I crystal. Source: Alexandria, functional PBE.

Summary:
relative energy among the computed polymorphs: 1.687 eV per atom
total magnetic moment: 2.01 μB/cell

Geometry as CIF:
```
data_TaPS2I
_cell_length_a 4.890
_cell_length_b 4.890
_cell_length_c 5.121
_cell_angle_alpha 90.00
_cell_angle_beta 90.00
_cell_angle_gamma 90.00
_symmetry_space_group_name_H-M 'P 1'
_symmetry_Int_Tables_number 1
loop_
_symmetry_equiv_pos_as_xyz
'x,y,z'
loop_
_atom_site_label
_atom_site_fract_x
_atom_site_fract_y
_atom_site_fract_z
Ta1 0.000 0.000 0.000
P1 0.500 0.500 0.000
S1 0.000 0.500 0.500
S2 0.500 0.000 0.500
I1 0.500 0.500 0.500
```

A relaxed Cr3FePd crystal. Source: Alexandria, functional PBE.

Summary:
formation energy: 5.24 eV per formula unit
relative energy among the computed polymorphs: 0.000 eV per atom
total magnetic moment: 0.01 μB/cell

Geometry as CIF:
```
data_Cr3FePd
_cell_length_a 4.166
_cell_length_b 4.166
_cell_length_c 4.166
_cell_angle_alpha 90.00
_cell_angle_beta 90.00
_cell_angle_gamma 90.00
_symmetry_space_group_name_H-M 'P 1'
_symmetry_Int_Tables_number 1
loop_
_symmetry_equiv_pos_as_xyz
'x,y,z'
loop_
_atom_site_label
_atom_site_fract_x
_atom_site_fract_y
_atom_site_fract_z
Cr1 0.000 0.000 0.500
Cr2 0.000 0.500 0.000
Cr3 0.500 0.000 0.000
Fe1 0.000 0.000 0.000
Pd1 0.500 0.500 0.500
```

A relaxed CsTeH2F8 crystal. Source: Alexandria, functional PBE.

Summary:
total DFT energy (no corrections): -49.90 eV/f.u.
total magnetic moment: 0.97 μB/cell

Geometry as CIF:
```
data_CsTeH2F8
_cell_length_a 5.059
_cell_length_b 5.180
_cell_length_c 8.548
_cell_angle_alpha 79.19
_cell_angle_beta 88.62
_cell_angle_gamma 69.76
_symmetry_space_group_name_H-M 'P 1'
_symmetry_Int_Tables_number 1
loop_
_symmetry_equiv_pos_as_xyz
'x,y,z'
loop_
_atom_site_label
_atom_site_fract_x
_atom_site_fract_y
_atom_site_fract_z
Cs1 0.000 0.000 0.000
Te1 0.000 0.000 0.500
H1 0.466 0.315 0.216
H2 0.534 0.685 0.784
F1 0.229 0.239 0.487
F2 0.234 0.803 0.341
F3 0.250 0.734 0.687
F4 0.347 0.336 0.124
F5 0.653 0.664 0.876
F6 0.750 0.266 0.313
F7 0.766 0.197 0.659
F8 0.771 0.761 0.513
```

A relaxed Li2Zn5Ga3 crystal. Source: Alexandria, functional PBE.

Summary:
formation energy: -0.59 eV per formula unit
relative energy among the computed polymorphs: 0.053 eV per atom
total magnetic moment: 0.00 μB/cell

Geometry as CIF:
```
data_Li2Zn5Ga3
_cell_length_a 8.545
_cell_length_b 8.545
_cell_length_c 8.545
_cell_angle_alpha 102.29
_cell_angle_beta 89.32
_cell_angle_gamma 143.04
_symmetry_space_group_name_H-M 'P 1'
_symmetry_Int_Tables_number 1
loop_
_symmetry_equiv_pos_as_xyz
'x,y,z'
loop_
_atom_site_label
_atom_site_fract_x
_atom_site_fract_y
_atom_site_fract_z
Li1 0.249 0.126 0.376
Li2 0.251 0.626 0.877
Li3 0.749 0.374 0.123
Li4 0.751 0.874 0.624
Zn1 0.150 0.374 0.523
Zn2 0.250 0.002 0.752
Zn3 0.250 0.250 0.000
Zn4 0.250 0.498 0.248
Zn5 0.350 0.874 0.224
Zn6 0.650 0.126 0.776
Zn7 0.750 0.502 0.752
Zn8 0.750 0.750 0.000
Zn9 0.750 0.998 0.248
Zn10 0.850 0.626 0.477
Ga1 0.150 0.878 0.028
Ga2 0.250 0.750 0.500
Ga3 0.350 0.378 0.728
Ga4 0.650 0.622 0.272
Ga5 0.750 0.250 0.500
Ga6 0.850 0.122 0.972
```

A relaxed Cs4Cd4Ag crystal. Source: Alexandria, functional PBE.

Summary:
formation energy: 0.23 eV per formula unit
total magnetic moment: 0.00 μB/cell

Geometry as CIF:
```
data_Cs4Cd4Ag
_cell_length_a 9.687
_cell_length_b 9.687
_cell_length_c 9.687
_cell_angle_alpha 132.07
_cell_angle_beta 132.07
_cell_angle_gamma 70.11
_symmetry_space_group_name_H-M 'P 1'
_symmetry_Int_Tables_number 1
loop_
_symmetry_equiv_pos_as_xyz
'x,y,z'
loop_
_atom_site_label
_atom_site_fract_x
_atom_site_fract_y
_atom_site_fract_z
Cs1 0.140 0.140 0.563
Cs2 0.423 0.860 0.000
Cs3 0.577 0.577 0.437
Cs4 0.860 0.423 0.000
Cd1 0.113 0.686 0.000
Cd2 0.314 0.314 0.428
Cd3 0.686 0.113 0.000
Cd4 0.887 0.887 0.572
Ag1 0.000 0.000 0.000
```

A relaxed HAu2F2 crystal. Source: Alexandria, functional PBE.

Summary:
relative energy among the computed polymorphs: 0.664 eV per atom
total magnetic moment: 1.99 μB/cell

Geometry as CIF:
```
data_HAu2F2
_cell_length_a 7.060
_cell_length_b 7.060
_cell_length_c 2.880
_cell_angle_alpha 90.00
_cell_angle_beta 90.00
_cell_angle_gamma 90.00
_symmetry_space_group_name_H-M 'P 1'
_symmetry_Int_Tables_number 1
loop_
_symmetry_equiv_pos_as_xyz
'x,y,z'
loop_
_atom_site_label
_atom_site_fract_x
_atom_site_fract_y
_atom_site_fract_z
H1 0.000 0.000 0.000
H2 0.500 0.500 0.000
Au1 0.171 0.329 0.500
Au2 0.329 0.829 0.500
Au3 0.671 0.171 0.500
Au4 0.829 0.671 0.500
F1 0.136 0.636 0.000
F2 0.364 0.136 0.000
F3 0.636 0.864 0.000
F4 0.864 0.364 0.000
```

A relaxed HfHgNO2 crystal. Source: Alexandria, functional PBE.

Summary:
total DFT energy (no corrections): -25.83 eV/f.u.
total magnetic moment: 0.00 μB/cell

Geometry as CIF:
```
data_HfHgNO2
_cell_length_a 4.084
_cell_length_b 4.084
_cell_length_c 4.258
_cell_angle_alpha 90.00
_cell_angle_beta 90.00
_cell_angle_gamma 90.00
_symmetry_space_group_name_H-M 'P 1'
_symmetry_Int_Tables_number 1
loop_
_symmetry_equiv_pos_as_xyz
'x,y,z'
loop_
_atom_site_label
_atom_site_fract_x
_atom_site_fract_y
_atom_site_fract_z
Hf1 0.000 0.000 0.000
Hg1 0.500 0.500 0.500
N1 0.500 0.500 0.000
O1 0.000 0.500 0.500
O2 0.500 0.000 0.500
```

A relaxed BaPd3Pb3 crystal. Source: Alexandria, functional PBE.

Summary:
formation energy: -1.33 eV per formula unit
relative energy among the computed polymorphs: 0.159 eV per atom
total magnetic moment: 0.00 μB/cell

Geometry as CIF:
```
data_BaPd3Pb3
_cell_length_a 7.583
_cell_length_b 7.583
_cell_length_c 7.583
_cell_angle_alpha 90.00
_cell_angle_beta 90.00
_cell_angle_gamma 90.00
_symmetry_space_group_name_H-M 'P 1'
_symmetry_Int_Tables_number 1
loop_
_symmetry_equiv_pos_as_xyz
'x,y,z'
loop_
_atom_site_label
_atom_site_fract_x
_atom_site_fract_y
_atom_site_fract_z
Ba1 0.000 0.000 0.000
Ba2 0.500 0.500 0.500
Pd1 0.000 0.250 0.500
Pd2 0.000 0.750 0.500
Pd3 0.250 0.500 0.000
Pd4 0.500 0.000 0.250
Pd5 0.500 0.000 0.750
Pd6 0.750 0.500 0.000
Pb1 0.000 0.500 0.250
Pb2 0.000 0.500 0.750
Pb3 0.250 0.000 0.500
Pb4 0.500 0.250 0.000
Pb5 0.500 0.750 0.000
Pb6 0.750 0.000 0.500
```